Computed, not measured: a geometry-optimized TcIr2Pb structure at the PBE level of DFT.

Properties
Crystal system = orthorhombic
Total DFT energy (no corrections) = -29.870 eV for the cell shown
Formation energy = 0.48 eV/atom
Space-group type = Cmmm (65)

a b c (Å): 4.889 4.889 2.918
angles (deg): 90.00 90.00 107.87
Each line ends with the local moment (μB).
Atoms (fractional coordinates):
1 Ir 0.000 0.000 0.000  0.02
2 Ir 0.500 0.500 0.000  0.02
3 Pb 0.500 0.000 0.500  0.00
4 Tc 0.000 0.500 0.500  0.44